Below is crystalline CdAuF at its relaxed geometry, with properties calculated at the PBE-GGA level.

The structure belongs to space group Amm2 (No. 38); the cell edges are 12.323, 3.225 and 5.652 Å and the angles 90.00°, 90.00° and 90.00°. Symmetry generates all atoms from Cd at (0.000, 0.000, 0.000), Cd at (0.500, 0.000, 0.135), Au at (0.328, 0.000, 0.804) and F at (0.109, 0.000, 0.331).

For the total DFT energy (no corrections), the calculation gives -34.57 eV/cell. The volume comes out at 225 Å³ per cell.



Below is crystalline CdAuF2 at its relaxed geometry, with properties calculated at the PBE-GGA level.

The structure belongs to space group I-42d (No. 122); the cell edges are 5.940, 5.940 and 9.459 Å and the angles 90.00°, 90.00° and 90.00°. Symmetry generates all atoms from Cd at (0.000, 0.000, 0.000), Au at (0.000, 0.000, 0.500) and F at (0.177, 0.250, 0.125).

For the total DFT energy (no corrections), the calculation gives -47.02 eV/cell. The energy relative to the lowest polymorph listed for this composition is 1.13 eV/f.u. The volume comes out at 334 Å³ per cell.



Below is crystalline CdAuF2 at its relaxed geometry, with properties calculated at the PBE-GGA level.

The structure belongs to space group R-3m (No. 166, hexagonal axes); the cell edges are 3.0829, 3.0829 and 24.3656 Å and the angles 90.00°, 90.00° and 120.00°. Symmetry generates all atoms from Cd at (0.0000, 0.0000, 0.0000), Au at (0.0000, 0.0000, 0.5000) and F at (0.0000, 0.0000, 0.0894).

For the total DFT energy (no corrections), the calculation gives -32.81 eV/cell. The energy relative to the lowest polymorph listed for this composition is 1.95 eV/f.u. The volume comes out at 201 Å³ per cell.